<one>
A relaxed Re4Hg crystal. Source: the Alexandria database, functional PBEsol.

spin magnetization = 0.00 Bohr magnetons per cell

Unit cell a=4.0020 b=4.0020 c=6.2658 alpha=108.62 beta=108.62 gamma=90.00
Element x y z (fractional)
1 Hg 0.0000 0.0000 0.0000
2 Re 0.3858 0.3858 0.7716
3 Re 0.6142 0.6142 0.2284
4 Re 0.2500 0.7500 0.5000
5 Re 0.7500 0.2500 0.5000

<two>
A relaxed Re4Hg crystal. Source: the Alexandria database, functional PBEsol.

spin magnetization = 0.00 Bohr magnetons per cell

Unit cell a=3.9872 b=4.8136 c=4.8136 alpha=80.12 beta=65.53 gamma=65.53
Element x y z (fractional)
1 Hg 0.0000 0.0000 0.0000
2 Re 0.1964 0.2221 0.3851
3 Re 0.8036 0.7779 0.6149
4 Re 0.4185 0.3851 0.7779
5 Re 0.5815 0.6149 0.2221

Top of the stability list: <two>, leading by 18.6 kJ/mol of atoms.

<one>
A relaxed Re2SiHg crystal. Source: the Alexandria database, functional PBEsol.

spin magnetization = 0.00 Bohr magnetons per cell

Unit cell a=2.8799 b=4.4703 c=5.2723 alpha=102.03 beta=90.00 gamma=108.79
Element x y z (fractional)
1 Re 0.2353 0.4705 0.2039
2 Re 0.7647 0.5295 0.7961
3 Si 0.5000 0.0000 0.0000
4 Hg 0.0000 0.0000 0.5000

<two>
A relaxed Re2SiHg crystal. Source: the Alexandria database, functional PBEsol.

spin magnetization = 0.00 Bohr magnetons per cell

Unit cell a=2.9035 b=3.9293 c=5.5439 alpha=90.00 beta=102.53 gamma=90.00
Element x y z (fractional)
1 Si 0.5000 0.5000 0.0000
2 Re 0.1353 0.0000 0.7878
3 Re 0.8647 0.0000 0.2122
4 Hg 0.5000 0.5000 0.5000

Top of the stability list: <two>, leading by 0.6 kJ/mol of atoms.

<one>
A relaxed SrReHg2 crystal. Source: the Alexandria database, functional PBEsol.

spin magnetization = 0.00 Bohr magnetons per cell

Unit cell a=3.0025 b=5.3262 c=5.3262 alpha=106.70 beta=90.00 gamma=90.00
Element x y z (fractional)
1 Hg 0.0000 0.5000 0.0000
2 Hg 0.0000 0.0000 0.5000
3 Re 0.5000 0.5000 0.5000
4 Sr 0.5000 0.0000 0.0000

<two>
A relaxed SrReHg2 crystal. Source: the Alexandria database, functional PBEsol.

spin magnetization = 0.00 Bohr magnetons per cell

Unit cell a=2.9770 b=4.6883 c=7.2152 alpha=103.59 beta=101.91 gamma=90.00
Element x y z (fractional)
1 Sr 0.1864 0.6652 0.3728
2 Re 0.4869 0.5311 0.9738
3 Hg 0.8196 0.2643 0.6392
4 Hg 0.0071 0.0394 0.0142

Top of the stability list: <two>, leading by 9.4 kJ/mol of atoms.